## TlFeMoAu (PBE)

Data for TlFeMoAu after structural relaxation.

Cell: 4.5431 4.5431 4.5431 Å, 60.00 60.00 60.00°
Fractional positions:
Tl 0.0000 0.0000 0.0000
Au 0.5000 0.5000 0.5000
Fe 0.7500 0.7500 0.7500
Mo 0.2500 0.2500 0.2500

Calculated values
The calculation puts the volume at 16.58 Å³/atom. For the electronic total energy, the calculation gives -5.539 eV per atom. The offset from the most stable computed form comes out at 0 meV per atom.